Record 1
## GaSi2SnO (PBE-GGA)

Data for GaSi2SnO after structural relaxation.

Cell: 5.1418 5.1418 5.3419 Å, 90.00 90.00 90.00°
Space group P4/mmm (No. 123)
One atom of each set of equivalent atoms:
Ga1 0.0000 0.0000 0.0000 x1
Si1 0.0000 0.5000 0.5000 x2
Sn1 0.0000 0.0000 0.5000 x1
O1 0.5000 0.5000 0.0000 x1

## Properties
Its uncorrected formation energy is 138.4 kJ per mole of atoms.

Record 2
## SrGa2Si2O8 (PBE-GGA)

Data for SrGa2Si2O8 after structural relaxation.

Cell: 8.5029 9.6153 9.1314 Å, 90.00 90.73 90.00°
Space group P2_1/c (No. 14)
One atom of each set of equivalent atoms:
Sr1 0.2471 0.0855 0.1111 x4
Ga1 0.0724 0.6903 0.0545 x4
Ga2 0.4302 0.0757 0.7262 x4
Si1 0.0599 0.0827 0.7417 x4
Si2 0.4452 0.7016 0.0628 x4
O1 0.0119 0.0677 0.3102 x4
O2 0.0585 0.6285 0.6248 x4
O3 0.0641 0.1944 0.6063 x4
O4 0.2366 0.0753 0.8183 x4
O5 0.2739 0.6460 0.0074 x4
O6 0.4276 0.1991 0.5721 x4
O7 0.4379 0.6361 0.6216 x4
O8 0.4838 0.0976 0.3073 x4

## Properties
Its uncorrected formation energy is -246.8 kJ per mole of atoms. The distance to the lowest polymorph of the same formula is 0.000 eV per atom.

Record 3
## SrGa2Si2O8 (PBE-GGA)

Data for SrGa2Si2O8 after structural relaxation.

Cell: 13.4023 13.3314 8.5899 Å, 90.00 99.81 90.00°
Space group C2/c (No. 15)
One atom of each set of equivalent atoms:
Sr1 0.1835 0.2451 0.1982 x8
Ga1 0.0798 0.3728 0.5257 x8
Ga2 0.1303 0.0708 0.8811 x8
Si1 0.0790 0.1397 0.5088 x8
Si2 0.1439 0.4212 0.9030 x8
O1 0.0442 0.1344 0.9981 x8
O2 0.0591 0.3717 0.9971 x8
O3 0.1083 0.2499 0.4408 x8
O4 0.1188 0.0648 0.3807 x8
O5 0.1340 0.4576 0.3938 x8
O6 0.1407 0.1269 0.6892 x8
O7 0.1488 0.3716 0.7298 x8
O8 0.2501 0.1250 0.9929 x8

## Properties
Its uncorrected formation energy is -245.3 kJ per mole of atoms. The distance to the lowest polymorph of the same formula is 0.016 eV per atom.

Record 4
## TlGaSi2O6 (PBE-GGA)

Data for TlGaSi2O6 after structural relaxation.

Cell: 10.1741 11.2372 5.5126 Å, 90.00 110.09 90.00°
Space group C2/c (No. 15)
One atom of each set of equivalent atoms:
Tl1 0.0000 0.1187 0.2500 x4
Ga1 0.0000 0.2640 0.7500 x4
Si1 0.2164 0.4189 0.1408 x8
O1 0.0706 0.3442 0.0555 x8
O2 0.1445 0.1639 0.7452 x8
O3 0.2248 0.4904 0.8826 x8

## Properties
Its uncorrected formation energy is -212.5 kJ per mole of atoms.